The following is a DFT calculation (PBE-GGA) of an optimized crystal structure of Tm8IrRu5.

Summary:
Its formation energy is -4.6 eV/f.u. The calculation puts the density of states at the Fermi level at 0.744 states/eV per atom. As for the space-group type: I-4 (82). The electronic total energy comes out at -0.2509 Ha/atom. As for the total magnetization: 0.00 μB per formula unit. The volume is 298 Å³/f.u.

Lattice parameters (Å, degrees): 7.2880 7.2880 7.2880 109.65 109.12 109.65
Fractional positions:
Tm1 0.5982 0.3753 0.8559
Ru1 0.7318 0.6299 0.6007
Ru2 0.3993 0.1311 0.0292
Ru3 0.5000 0.0000 0.5000
Ru4 0.8981 0.8689 0.2682
Ir1 0.2500 0.5000 0.7500
Tm2 0.6430 0.8936 0.8993
Tm3 0.1441 0.7423 0.5194
Tm4 0.1007 0.7437 0.9943
Tm5 0.4806 0.6247 0.2229
Tm6 0.0057 0.1064 0.7494
Tm7 0.2506 0.2563 0.3570
Ru5 0.9708 0.3701 0.1019
Tm8 0.7771 0.2577 0.4018